(1)
Below is crystalline MnPt6Rh2 at its relaxed geometry, with properties calculated at the PBE level.

a = 2.745 Å, b = 7.657 Å, c = 7.657 Å
α = 120.00°, β = 90.00°, γ = 90.00°
Last column: magnetic moment on the atom in μB.
Positions (direct):
1 Mn 0.000 0.000 0.000  3.63
2 Pt 0.232 0.000 0.329  0.04
3 Pt 0.232 0.671 0.671  0.04
4 Pt 0.768 0.000 0.671  0.04
5 Pt 0.768 0.671 0.000  0.04
6 Pt 0.768 0.329 0.329  0.04
7 Pt 0.232 0.329 0.000  0.04
8 Rh 0.500 0.667 0.333  -0.03
9 Rh 0.500 0.333 0.667  -0.03

Results
* relative energy among the computed polymorphs: 0.111 eV/atom
* space group: No. 162
* DOS at the Fermi energy: 1.83 states/eV per atom
* electronic total energy: -6.627 eV/atom
* density: 17.05 g/cm3
* total magnetization: 3.95 μB per formula unit
* V: 139.36 Å³/cell
* ΔH_f (0 K): 0.475 eV per formula unit

***

(2)
Below is crystalline MnPt3Rh4 at its relaxed geometry, with properties calculated at the PBE level.

a = 4.323 Å, b = 2.759 Å, c = 11.021 Å
α = 75.53°, β = 101.26°, γ = 89.99°
Last column: magnetic moment on the atom in μB.
Positions (direct):
1 Mn 0.500 0.000 0.000  2.78
2 Rh 0.597 0.306 0.195  -0.04
3 Rh 0.403 0.694 0.805  -0.04
4 Rh 0.288 0.423 0.576  -0.32
5 Rh 0.712 0.577 0.424  -0.32
6 Pt 0.000 0.500 0.000  0.10
7 Pt 0.833 0.833 0.665  -0.13
8 Pt 0.167 0.167 0.335  -0.13

Results
* space group: No. 2
* DOS at the Fermi energy: 1.57 states/eV per atom
* electronic total energy: -6.933 eV/atom
* density: 14.01 g/cm3
* total magnetization: 2.01 μB per formula unit
* V: 124.64 Å³/cell
* ΔH_f (0 K): 1.234 eV per formula unit

***

(3)
Below is crystalline MnPtRh4 at its relaxed geometry, with properties calculated at the PBE level.

a = 5.090 Å, b = 5.090 Å, c = 5.090 Å
α = 60.00°, β = 60.00°, γ = 60.00°
Last column: magnetic moment on the atom in μB.
Positions (direct):
1 Mn 0.750 0.750 0.750  3.99
2 Pt 0.000 0.000 0.000  -0.13
3 Rh 0.875 0.375 0.375  -0.12
4 Rh 0.375 0.375 0.875  -0.12
5 Rh 0.375 0.875 0.375  -0.12
6 Rh 0.375 0.375 0.375  -0.12

Results
* relative energy among the computed polymorphs: 0.315 eV/atom
* space group: No. 216
* DOS at the Fermi energy: 2.10 states/eV per atom
* electronic total energy: -7.159 eV/atom
* density: 11.78 g/cm3
* total magnetization: 3.51 μB per formula unit
* V: 93.26 Å³/cell
* ΔH_f (0 K): 1.663 eV per formula unit

***

(4)
Below is crystalline MnPtRh2 at its relaxed geometry, with properties calculated at the PBE level.

a = 8.872 Å, b = 8.872 Å, c = 8.872 Å
α = 17.96°, β = 17.96°, γ = 17.96°
Last column: magnetic moment on the atom in μB.
Positions (direct):
1 Mn 0.502 0.502 0.502  3.34
2 Pt 0.754 0.754 0.754  0.09
3 Rh 0.998 0.998 0.998  -0.71
4 Rh 0.247 0.247 0.247  -0.14

Results
* space group: No. 160
* DOS at the Fermi energy: 1.63 states/eV per atom
* electronic total energy: -7.525 eV/atom
* density: 13.05 g/cm3
* total magnetization: 2.72 μB per formula unit
* V: 57.99 Å³/cell
* ΔH_f (0 K): -0.185 eV per formula unit

***

(5)
Below is crystalline Mn2PtRh at its relaxed geometry, with properties calculated at the PBE level.

a = 3.689 Å, b = 3.689 Å, c = 8.844 Å
α = 77.96°, β = 77.96°, γ = 90.00°
Positions (direct):
1 Mn 0.571 0.125 0.250
2 Mn 0.179 0.625 0.250
3 Mn 0.375 0.429 0.750
4 Mn 0.875 0.821 0.750
5 Rh 0.500 0.500 0.000
6 Rh 0.250 0.750 0.500
7 Pt 0.000 0.000 0.000
8 Pt 0.750 0.250 0.500

Results
* space group: No. 122
* DOS at the Fermi energy: 1.80 states/eV per atom
* electronic total energy: -7.458 eV/atom
* density: 11.78 g/cm3
* total magnetization: 0.00 μB per formula unit
* V: 114.99 Å³/cell
* ΔH_f (0 K): 1.899 eV per formula unit

***

(6)
Below is crystalline Mn2PtRh at its relaxed geometry, with properties calculated at the PBE level.

a = 2.800 Å, b = 2.800 Å, c = 7.046 Å
α = 90.00°, β = 90.00°, γ = 90.00°
Last column: magnetic moment on the atom in μB.
Positions (direct):
1 Mn 0.000 0.000 0.001  2.28
2 Mn 0.500 0.500 0.235  2.95
3 Pt 0.000 0.000 0.485  0.07
4 Rh 0.500 0.500 0.779  0.07

Results
* space group: No. 99
* DOS at the Fermi energy: 0.85 states/eV per atom
* electronic total energy: -7.972 eV/atom
* density: 12.26 g/cm3
* total magnetization: 5.51 μB per formula unit
* V: 55.24 Å³/cell
* ΔH_f (0 K): -0.156 eV per formula unit

***

(7)
Below is crystalline MnPt3Rh2 at its relaxed geometry, with properties calculated at the PBE level.

a = 5.503 Å, b = 4.813 Å, c = 7.285 Å
α = 90.56°, β = 112.19°, γ = 90.00°
Last column: magnetic moment on the atom in μB.
Positions (direct):
1 Mn 0.861 0.250 0.000  3.69
2 Mn 0.139 0.750 0.000  3.69
3 Pt 0.636 0.750 0.000  0.14
4 Pt 0.364 0.250 0.000  0.14
5 Pt 0.715 0.919 0.674  0.08
6 Pt 0.041 0.581 0.326  0.08
7 Pt 0.959 0.419 0.674  0.08
8 Pt 0.285 0.081 0.326  0.08
9 Rh 0.455 0.421 0.668  0.05
10 Rh 0.213 0.921 0.668  0.05
11 Rh 0.787 0.079 0.332  0.05
12 Rh 0.545 0.579 0.332  0.05

Results
* space group: No. 15
* DOS at the Fermi energy: 1.34 states/eV per atom
* electronic total energy: -7.174 eV/atom
* density: 15.73 g/cm3
* total magnetization: 4.24 μB per formula unit
* V: 178.66 Å³/cell
* ΔH_f (0 K): -1.050 eV per formula unit

***

(8)
Below is crystalline MnPtRh2 at its relaxed geometry, with properties calculated at the PBE level.

a = 4.726 Å, b = 4.726 Å, c = 4.692 Å
α = 79.21°, β = 79.21°, γ = 34.34°
Last column: magnetic moment on the atom in μB.
Positions (direct):
1 Mn 0.499 0.499 0.499  3.54
2 Pt 0.247 0.247 0.255  0.07
3 Rh 0.002 0.002 0.990  -0.12
4 Rh 0.753 0.753 0.755  -0.06

Results
* space group: No. 8
* DOS at the Fermi energy: 1.52 states/eV per atom
* electronic total energy: -7.599 eV/atom
* density: 13.05 g/cm3
* total magnetization: 3.59 μB per formula unit
* V: 57.98 Å³/cell
* ΔH_f (0 K): -0.485 eV per formula unit

***

(9)
Below is crystalline MnPtRh4 at its relaxed geometry, with properties calculated at the PBE level.

a = 2.752 Å, b = 2.752 Å, c = 11.320 Å
α = 90.00°, β = 90.00°, γ = 90.00°
Last column: magnetic moment on the atom in μB.
Positions (direct):
1 Mn 0.500 0.500 0.500  3.19
2 Pt 0.000 0.000 0.000  -0.12
3 Rh 0.500 0.500 0.826  -0.27
4 Rh 0.500 0.500 0.174  -0.27
5 Rh 0.000 0.000 0.343  -0.14
6 Rh 0.000 0.000 0.657  -0.14

Results
* relative energy among the computed polymorphs: 0.000 eV/atom
* space group: No. 123
* DOS at the Fermi energy: 1.44 states/eV per atom
* electronic total energy: -7.474 eV/atom
* density: 12.81 g/cm3
* total magnetization: 2.39 μB per formula unit
* V: 85.75 Å³/cell
* ΔH_f (0 K): -0.225 eV per formula unit

***

(10)
Below is crystalline Mn3PtRh at its relaxed geometry, with properties calculated at the PBE level.

a = 4.672 Å, b = 4.672 Å, c = 4.672 Å
α = 90.00°, β = 90.00°, γ = 90.00°
Last column: magnetic moment on the atom in μB.
Positions (direct):
1 Mn 0.000 0.500 0.000  -4.01
2 Mn 0.000 0.000 0.500  -3.90
3 Mn 0.500 0.000 0.000  -4.11
4 Rh 0.000 0.000 0.000  -0.58
5 Pt 0.500 0.500 0.500  -0.13

Results
* relative energy among the computed polymorphs: 0.000 eV/atom
* space group: No. 221
* DOS at the Fermi energy: 0.72 states/eV per atom
* electronic total energy: -7.205 eV/atom
* density: 7.54 g/cm3
* total magnetization: 13.45 μB per formula unit
* V: 101.97 Å³/cell
* ΔH_f (0 K): 4.875 eV per formula unit

***

(11)
Below is crystalline MnPt2Rh4 at its relaxed geometry, with properties calculated at the PBE level.

a = 2.741 Å, b = 2.736 Å, c = 13.784 Å
α = 90.00°, β = 95.71°, γ = 90.00°
Last column: magnetic moment on the atom in μB.
Positions (direct):
1 Mn 0.500 0.000 0.000  3.25
2 Pt 0.793 0.500 0.585  -0.06
3 Pt 0.207 0.500 0.415  -0.06
4 Rh 0.934 0.500 0.868  -0.13
5 Rh 0.635 0.000 0.271  -0.38
6 Rh 0.066 0.500 0.132  -0.13
7 Rh 0.365 0.000 0.729  -0.38

Results
* space group: No. 65
* DOS at the Fermi energy: 1.59 states/eV per atom
* electronic total energy: -7.241 eV/atom
* density: 13.83 g/cm3
* total magnetization: 2.24 μB per formula unit
* V: 102.87 Å³/cell
* ΔH_f (0 K): -0.034 eV per formula unit

***

(12)
Below is crystalline MnPtRh2 at its relaxed geometry, with properties calculated at the PBE level.

a = 2.765 Å, b = 3.762 Å, c = 5.520 Å
α = 90.00°, β = 90.00°, γ = 90.00°
Last column: magnetic moment on the atom in μB.
Positions (direct):
1 Mn 0.500 0.500 0.250  3.24
2 Pt 0.500 0.500 0.750  -0.17
3 Rh 0.000 0.000 0.009  -0.24
4 Rh 0.000 0.000 0.491  -0.24

Results
* space group: No. 47
* DOS at the Fermi energy: 1.41 states/eV per atom
* electronic total energy: -7.590 eV/atom
* density: 13.18 g/cm3
* total magnetization: 2.68 μB per formula unit
* V: 57.43 Å³/cell
* ΔH_f (0 K): -0.446 eV per formula unit

***

(13)
Below is crystalline MnPt2Rh8 at its relaxed geometry, with properties calculated at the PBE level.

a = 3.854 Å, b = 6.098 Å, c = 7.214 Å
α = 104.72°, β = 105.49°, γ = 90.00°
Last column: magnetic moment on the atom in μB.
Positions (direct):
1 Mn 0.500 0.000 0.000  3.05
2 Pt 0.226 0.639 0.452  -0.10
3 Pt 0.774 0.361 0.548  -0.10
4 Rh 0.588 0.450 0.177  -0.19
5 Rh 0.321 0.091 0.642  -0.17
6 Rh 0.132 0.176 0.265  -0.13
7 Rh 0.043 0.730 0.087  -0.14
8 Rh 0.868 0.824 0.735  -0.13
9 Rh 0.679 0.909 0.358  -0.17
10 Rh 0.412 0.550 0.823  -0.19
11 Rh 0.957 0.270 0.913  -0.14

Results
* space group: No. 12
* DOS at the Fermi energy: 1.38 states/eV per atom
* electronic total energy: -7.343 eV/atom
* density: 13.36 g/cm3
* total magnetization: 1.69 μB per formula unit
* V: 157.59 Å³/cell
* ΔH_f (0 K): -0.712 eV per formula unit

***

(14)
Below is crystalline MnPtRh2 at its relaxed geometry, with properties calculated at the PBE level.

a = 2.768 Å, b = 2.768 Å, c = 7.546 Å
α = 90.00°, β = 90.00°, γ = 90.00°
Last column: magnetic moment on the atom in μB.
Positions (direct):
1 Mn 0.000 0.000 0.494  3.44
2 Pt 0.500 0.500 0.741  0.02
3 Rh 0.000 0.000 0.008  -0.58
4 Rh 0.500 0.500 0.257  -0.23

Results
* space group: No. 99
* DOS at the Fermi energy: 1.37 states/eV per atom
* electronic total energy: -7.591 eV/atom
* density: 13.09 g/cm3
* total magnetization: 2.80 μB per formula unit
* V: 57.83 Å³/cell
* ΔH_f (0 K): -0.452 eV per formula unit

***

(15)
Below is crystalline MnPt6Rh at its relaxed geometry, with properties calculated at the PBE level.

a = 3.899 Å, b = 5.596 Å, c = 5.596 Å
α = 90.00°, β = 90.00°, γ = 90.00°
Last column: magnetic moment on the atom in μB.
Positions (direct):
1 Mn 0.500 0.000 0.000  3.70
2 Pt 0.000 0.751 0.249  -0.17
3 Pt 0.000 0.249 0.751  -0.17
4 Pt 0.000 0.751 0.751  -0.17
5 Pt 0.000 0.249 0.249  -0.17
6 Pt 0.500 0.500 0.000  -0.12
7 Pt 0.500 0.000 0.500  -0.12
8 Rh 0.500 0.500 0.500  -1.05

Results
* space group: No. 123
* DOS at the Fermi energy: 1.41 states/eV per atom
* electronic total energy: -6.764 eV/atom
* density: 18.07 g/cm3
* total magnetization: 1.84 μB per formula unit
* V: 122.08 Å³/cell
* ΔH_f (0 K): -1.343 eV per formula unit

***

(16)
Below is crystalline MnPt6Rh5 at its relaxed geometry, with properties calculated at the PBE level.

a = 3.894 Å, b = 7.816 Å, c = 7.305 Å
α = 122.34°, β = 105.46°, γ = 90.00°
Last column: magnetic moment on the atom in μB.
Positions (direct):
1 Mn 0.000 0.000 0.000  3.53
2 Rh 0.665 0.165 0.330  -0.18
3 Rh 0.336 0.336 0.671  -0.09
4 Rh 0.000 0.500 0.000  -0.48
5 Rh 0.664 0.664 0.329  -0.09
6 Rh 0.335 0.835 0.670  -0.18
7 Pt 0.833 0.586 0.667  -0.03
8 Pt 0.833 0.081 0.667  -0.03
9 Pt 0.500 0.754 0.000  -0.08
10 Pt 0.500 0.246 0.000  -0.08
11 Pt 0.167 0.919 0.333  -0.03
12 Pt 0.167 0.414 0.333  -0.03

Results
* space group: No. 71
* DOS at the Fermi energy: 1.50 states/eV per atom
* electronic total energy: -6.955 eV/atom
* density: 16.21 g/cm3
* total magnetization: 2.37 μB per formula unit
* V: 178.22 Å³/cell
* ΔH_f (0 K): -1.290 eV per formula unit

***

(17)
Below is crystalline Mn2Pt2Rh at its relaxed geometry, with properties calculated at the PBE level.

a = 7.142 Å, b = 7.142 Å, c = 2.729 Å
α = 90.00°, β = 90.00°, γ = 90.00°
Positions (direct):
1 Mn 0.388 0.888 0.000
2 Mn 0.888 0.612 0.000
3 Mn 0.612 0.112 0.000
4 Mn 0.112 0.388 0.000
5 Rh 0.000 0.000 0.000
6 Rh 0.500 0.500 0.000
7 Pt 0.180 0.680 0.500
8 Pt 0.680 0.820 0.500
9 Pt 0.820 0.320 0.500
10 Pt 0.320 0.180 0.500

Results
* relative energy among the computed polymorphs: 0.395 eV/atom
* space group: No. 127
* DOS at the Fermi energy: 1.50 states/eV per atom
* electronic total energy: -7.390 eV/atom
* density: 14.38 g/cm3
* total magnetization: 0.00 μB per formula unit
* V: 139.21 Å³/cell
* ΔH_f (0 K): 0.820 eV per formula unit

***

(18)
Below is crystalline MnPt5Rh4 at its relaxed geometry, with properties calculated at the PBE level.

a = 3.826 Å, b = 7.580 Å, c = 9.674 Å
α = 141.51°, β = 101.41°, γ = 90.00°
Last column: magnetic moment on the atom in μB.
Positions (direct):
1 Mn 0.500 0.000 0.000  3.48
2 Pt 0.166 0.336 0.333  -0.04
3 Pt 0.169 0.841 0.338  -0.06
4 Pt 0.831 0.159 0.662  -0.06
5 Pt 0.500 0.500 0.000  -0.09
6 Pt 0.834 0.664 0.667  -0.04
7 Rh 0.670 0.093 0.339  -0.08
8 Rh 0.002 0.251 0.005  -0.09
9 Rh 0.330 0.907 0.661  -0.08
10 Rh 0.998 0.749 0.995  -0.09

Results
* space group: No. 12
* DOS at the Fermi energy: 1.52 states/eV per atom
* electronic total energy: -6.739 eV/atom
* density: 14.46 g/cm3
* total magnetization: 3.06 μB per formula unit
* V: 165.57 Å³/cell
* ΔH_f (0 K): 1.385 eV per formula unit

***

(19)
Below is crystalline MnPt2Rh2 at its relaxed geometry, with properties calculated at the PBE level.

a = 6.562 Å, b = 6.562 Å, c = 3.688 Å
α = 90.00°, β = 90.00°, γ = 90.00°
Last column: magnetic moment on the atom in μB.
Positions (direct):
1 Mn 0.000 0.000 0.000  3.68
2 Mn 0.500 0.500 0.000  3.68
3 Rh 0.360 0.860 0.000  -0.08
4 Rh 0.860 0.640 0.000  -0.08
5 Rh 0.640 0.140 0.000  -0.08
6 Rh 0.140 0.360 0.000  -0.08
7 Pt 0.158 0.658 0.500  -0.05
8 Pt 0.658 0.842 0.500  -0.05
9 Pt 0.842 0.342 0.500  -0.05
10 Pt 0.342 0.158 0.500  -0.05

Results
* relative energy among the computed polymorphs: 0.000 eV/atom
* space group: No. 127
* DOS at the Fermi energy: 1.27 states/eV per atom
* electronic total energy: -7.064 eV/atom
* density: 13.62 g/cm3
* total magnetization: 3.60 μB per formula unit
* V: 158.77 Å³/cell
* ΔH_f (0 K): 0.633 eV per formula unit

***

(20)
Below is crystalline Mn2PtRh at its relaxed geometry, with properties calculated at the PBE level.

a = 4.895 Å, b = 4.895 Å, c = 4.895 Å
α = 134.97°, β = 134.98°, γ = 65.57°
Last column: magnetic moment on the atom in μB.
Positions (direct):
1 Mn 0.000 0.000 0.000  3.49
2 Mn 0.750 0.250 0.500  3.46
3 Pt 0.500 0.500 0.000  0.13
4 Rh 0.250 0.750 0.500  0.13

Results
* space group: No. 119
* DOS at the Fermi energy: 1.58 states/eV per atom
* electronic total energy: -8.077 eV/atom
* density: 11.71 g/cm3
* total magnetization: 7.45 μB per formula unit
* V: 57.83 Å³/cell
* ΔH_f (0 K): -0.575 eV per formula unit